# 1
VOF3: PBEsol geometry, meta-GGA SCAN.

Geometry as POSCAR:
```
VOF3
1.0
9.344 0.000 0.000
0.000 5.480 0.000
0.000 0.000 5.306
V O F
4 4 12
direct
0.245 0.078 0.000
0.255 0.578 0.500
0.745 0.422 0.000
0.755 0.922 0.500
0.207 0.276 0.209
0.293 0.776 0.709
0.707 0.224 0.209
0.793 0.724 0.709
0.076 0.991 0.892
0.078 0.507 0.566
0.213 0.778 0.233
0.287 0.278 0.733
0.422 0.007 0.066
0.424 0.491 0.392
0.576 0.509 0.892
0.578 0.993 0.566
0.713 0.722 0.233
0.787 0.222 0.733
0.922 0.493 0.066
0.924 0.009 0.392
```

The space group is Pna2_1. The value obtained for the density of states at the Fermi level is 0.000 states/eV/cell. For the uncorrected formation energy, the calculation gives -2757 meV per atom.

# 2
V3O4F2: PBEsol geometry, meta-GGA SCAN.

Geometry as POSCAR:
```
V3O4F2
1.0
3.246 -3.251 0.000
3.246 3.251 0.000
-0.120 0.000 8.797
V O F
6 8 4
direct
0.000 0.000 0.000
0.026 0.028 0.653
0.500 0.500 0.500
0.523 0.445 0.846
0.555 0.477 0.154
0.972 0.974 0.347
0.208 0.792 0.500
0.317 0.276 0.001
0.319 0.301 0.670
0.699 0.681 0.330
0.724 0.683 0.999
0.800 0.200 0.500
0.822 0.178 0.169
0.822 0.178 0.831
0.210 0.778 0.171
0.222 0.790 0.829
0.307 0.283 0.329
0.717 0.693 0.671
```

The space group is C2. The value obtained for the density of states at the Fermi level is 3.807 states/eV/cell. For the uncorrected formation energy, the calculation gives -2870 meV per atom. As for the energy above the most stable polymorph in this dataset: 0.000 eV per atom.

# 3
VOF3: PBEsol geometry, meta-GGA SCAN.

Geometry as POSCAR:
```
VOF3
1.0
6.681 -2.293 0.000
6.681 2.293 0.000
-1.512 0.000 4.282
V O F
2 2 6
direct
0.184 0.184 0.162
0.816 0.816 0.838
0.044 0.555 0.078
0.445 0.956 0.922
0.056 0.766 0.702
0.234 0.944 0.298
0.433 0.153 0.509
0.657 0.148 0.085
0.847 0.567 0.491
0.852 0.343 0.915
```

The space group is C2. The value obtained for the density of states at the Fermi level is 0.000 states/eV/cell. For the uncorrected formation energy, the calculation gives -2760 meV per atom.

# 4
V4O5F7: PBEsol geometry, meta-GGA SCAN.

Geometry as POSCAR:
```
V4O5F7
1.0
5.219 0.000 0.000
2.603 4.535 0.000
2.456 -1.350 8.459
V O F
4 5 7
direct
0.000 0.000 0.000
0.028 0.553 0.496
0.478 0.784 0.239
0.520 0.253 0.723
0.255 0.859 0.112
0.268 0.360 0.613
0.268 0.682 0.385
0.760 0.887 0.081
0.769 0.890 0.635
0.259 0.192 0.332
0.268 0.697 0.827
0.274 0.195 0.894
0.761 0.388 0.581
0.765 0.717 0.358
0.773 0.380 0.135
0.774 0.229 0.857
```

The space group is P1. The value obtained for the density of states at the Fermi level is 3.642 states/eV/cell. For the uncorrected formation energy, the calculation gives -2887 meV per atom. As for the energy above the most stable polymorph in this dataset: 0.000 eV per atom.

# 5
V3OF11: PBEsol geometry, meta-GGA SCAN.

Geometry as POSCAR:
```
V3OF11
1.0
5.046 0.000 0.000
-0.008 5.383 0.000
-0.020 -2.405 14.371
V O F
6 2 22
direct
0.000 0.000 0.000
0.002 0.355 0.666
0.451 0.164 0.331
0.479 0.887 0.669
0.500 0.500 0.001
0.960 0.665 0.335
0.289 0.136 0.692
0.406 0.118 0.222
0.117 0.971 0.887
0.120 0.302 0.553
0.121 0.640 0.228
0.183 0.972 0.369
0.194 0.317 0.029
0.209 0.653 0.697
0.263 0.456 0.368
0.310 0.809 0.028
0.410 0.785 0.552
0.412 0.460 0.884
0.617 0.869 0.778
0.620 0.525 0.113
0.650 0.184 0.436
0.675 0.842 0.302
0.695 0.182 0.972
0.717 0.540 0.639
0.766 0.377 0.301
0.785 0.050 0.636
0.809 0.689 0.972
0.896 0.702 0.452
0.913 0.030 0.116
0.914 0.370 0.782
```

The space group is P1. For the uncorrected formation energy, the calculation gives -2909 meV per atom. As for the energy above the most stable polymorph in this dataset: 0.031 eV per atom.

# 6
V4O5F7: PBEsol geometry, meta-GGA SCAN.

Geometry as POSCAR:
```
V4O5F7
1.0
5.310 0.000 0.000
0.000 5.142 0.000
-0.278 0.000 7.279
V O F
4 5 7
direct
0.031 0.000 0.245
0.460 0.501 0.760
0.540 0.501 0.240
0.969 0.000 0.755
0.211 0.681 0.713
0.224 0.238 0.210
0.500 0.545 0.000
0.776 0.238 0.790
0.789 0.681 0.287
0.000 0.060 0.500
0.000 0.868 0.000
0.283 0.179 0.796
0.287 0.745 0.300
0.500 0.388 0.500
0.713 0.745 0.700
0.717 0.179 0.204
```

The space group is P2. The value obtained for the density of states at the Fermi level is 1.217 states/eV/cell. For the uncorrected formation energy, the calculation gives -2845 meV per atom. As for the energy above the most stable polymorph in this dataset: 0.042 eV per atom.

# 7
V2O2F3: PBEsol geometry, meta-GGA SCAN.

Geometry as POSCAR:
```
V2O2F3
1.0
1.879 -4.712 0.000
1.879 4.712 0.000
0.000 0.000 9.563
V O F
4 4 6
direct
0.154 0.846 0.556
0.154 0.846 0.944
0.846 0.154 0.056
0.846 0.154 0.444
0.329 0.671 0.046
0.329 0.671 0.454
0.671 0.329 0.546
0.671 0.329 0.954
0.043 0.957 0.117
0.043 0.957 0.383
0.214 0.786 0.750
0.786 0.214 0.250
0.957 0.043 0.617
0.957 0.043 0.883
```

The space group is Cmcm. The value obtained for the density of states at the Fermi level is 5.765 states/eV/cell. For the uncorrected formation energy, the calculation gives -2880 meV per atom. As for the energy above the most stable polymorph in this dataset: 0.064 eV per atom.

# 8
V2O3F: PBEsol geometry, meta-GGA SCAN.

Geometry as POSCAR:
```
V2O3F
1.0
4.674 -2.784 0.000
4.674 2.784 0.000
-3.881 0.000 9.284
V O F
8 12 4
direct
0.000 0.000 0.000
0.083 0.649 0.247
0.303 0.303 0.530
0.351 0.917 0.753
0.500 0.500 0.000
0.649 0.083 0.247
0.697 0.697 0.470
0.917 0.351 0.753
0.042 0.552 0.402
0.190 0.699 0.103
0.290 0.290 0.855
0.301 0.810 0.897
0.448 0.958 0.598
0.494 0.494 0.656
0.506 0.506 0.344
0.552 0.042 0.402
0.699 0.190 0.103
0.710 0.710 0.145
0.810 0.301 0.897
0.958 0.448 0.598
0.033 0.033 0.357
0.218 0.218 0.149
0.782 0.782 0.851
0.967 0.967 0.643
```

The space group is C2/m. The value obtained for the density of states at the Fermi level is 5.738 states/eV/cell. For the uncorrected formation energy, the calculation gives -2744 meV per atom. As for the energy above the most stable polymorph in this dataset: 0.069 eV per atom.

# 9
V3O4F2: PBEsol geometry, meta-GGA SCAN.

Geometry as POSCAR:
```
V3O4F2
1.0
4.449 -3.164 0.000
4.449 3.164 0.000
-3.208 0.000 6.580
V O F
6 8 4
direct
0.000 0.000 0.000
0.000 0.000 0.500
0.312 0.312 0.336
0.336 0.336 0.832
0.664 0.664 0.168
0.688 0.688 0.664
0.037 0.629 0.335
0.094 0.094 0.298
0.300 0.700 0.000
0.371 0.963 0.665
0.629 0.037 0.335
0.700 0.300 0.000
0.906 0.906 0.702
0.963 0.371 0.665
0.234 0.234 0.031
0.436 0.436 0.636
0.564 0.564 0.364
0.766 0.766 0.969
```

The space group is C2/m. The value obtained for the density of states at the Fermi level is 5.741 states/eV/cell. For the uncorrected formation energy, the calculation gives -2809 meV per atom. As for the energy above the most stable polymorph in this dataset: 0.062 eV per atom.

# 10
VOF3: PBEsol geometry, meta-GGA SCAN.

Geometry as POSCAR:
```
VOF3
1.0
4.517 0.000 0.000
0.000 4.605 0.000
-4.483 0.000 12.173
V O F
4 4 12
direct
0.160 0.208 0.182
0.160 0.292 0.682
0.840 0.708 0.318
0.840 0.792 0.818
0.076 0.041 0.801
0.076 0.459 0.301
0.924 0.541 0.699
0.924 0.959 0.199
0.100 0.552 0.908
0.100 0.948 0.408
0.297 0.070 0.084
0.297 0.430 0.584
0.484 0.573 0.206
0.484 0.927 0.706
0.516 0.073 0.294
0.516 0.427 0.794
0.703 0.570 0.416
0.703 0.930 0.916
0.900 0.052 0.592
0.900 0.448 0.092
```

The space group is P2_1/c. The value obtained for the density of states at the Fermi level is 0.000 states/eV/cell. For the uncorrected formation energy, the calculation gives -2762 meV per atom.

# 11
V3O5F: PBEsol geometry, meta-GGA SCAN.

Geometry as POSCAR:
```
V3O5F
1.0
4.597 0.000 0.000
0.000 2.837 0.000
-0.612 0.000 13.777
V O F
6 10 2
direct
0.000 0.000 0.000
0.023 0.000 0.658
0.469 0.500 0.843
0.500 0.500 0.500
0.531 0.500 0.157
0.977 0.000 0.342
0.202 0.500 0.934
0.205 0.500 0.597
0.297 0.000 0.766
0.298 0.000 0.431
0.300 0.000 0.102
0.700 0.000 0.898
0.702 0.000 0.569
0.703 0.000 0.234
0.795 0.500 0.403
0.798 0.500 0.066
0.199 0.500 0.267
0.801 0.500 0.733
```

The space group is P2/m. The value obtained for the density of states at the Fermi level is 6.415 states/eV/cell. For the uncorrected formation energy, the calculation gives -2761 meV per atom. As for the energy above the most stable polymorph in this dataset: 0.003 eV per atom.

# 12
V2O3F: PBEsol geometry, meta-GGA SCAN.

Geometry as POSCAR:
```
V2O3F
1.0
5.394 0.000 0.000
0.000 4.572 0.000
-0.779 0.000 9.816
V O F
8 12 4
direct
0.000 0.000 0.000
0.000 0.500 0.500
0.245 0.019 0.734
0.245 0.481 0.234
0.500 0.000 0.500
0.500 0.500 0.000
0.755 0.519 0.766
0.755 0.981 0.266
0.021 0.699 0.677
0.021 0.801 0.177
0.220 0.204 0.570
0.220 0.296 0.070
0.476 0.197 0.326
0.476 0.303 0.826
0.524 0.697 0.174
0.524 0.803 0.674
0.780 0.704 0.930
0.780 0.796 0.430
0.979 0.199 0.823
0.979 0.301 0.323
0.279 0.697 0.421
0.279 0.803 0.921
0.721 0.197 0.079
0.721 0.303 0.579
```

The space group is P2_1/c. The value obtained for the density of states at the Fermi level is 7.884 states/eV/cell. For the uncorrected formation energy, the calculation gives -2770 meV per atom. As for the energy above the most stable polymorph in this dataset: 0.043 eV per atom.

# 13
V3O2F5: PBEsol geometry, meta-GGA SCAN.

Geometry as POSCAR:
```
V3O2F5
1.0
-3.149 3.694 6.453
3.149 -3.694 6.453
3.149 3.694 -6.453
V O F
6 4 10
direct
0.000 0.000 0.500
0.000 0.500 0.000
0.122 0.122 0.000
0.500 0.000 0.000
0.500 0.500 0.500
0.878 0.878 0.000
0.214 0.445 0.230
0.214 0.984 0.770
0.786 0.016 0.230
0.786 0.555 0.770
0.000 0.189 0.189
0.000 0.811 0.811
0.114 0.339 0.775
0.129 0.855 0.274
0.419 0.145 0.274
0.436 0.661 0.775
0.564 0.339 0.225
0.581 0.855 0.726
0.871 0.145 0.726
0.886 0.661 0.225
```

The space group is Immm. The value obtained for the density of states at the Fermi level is 3.207 states/eV/cell. For the uncorrected formation energy, the calculation gives -2937 meV per atom.

# 14
V2O3F: PBEsol geometry, meta-GGA SCAN.

Geometry as POSCAR:
```
V2O3F
1.0
4.624 -2.853 0.000
4.624 2.853 0.000
-0.181 0.000 4.581
V O F
4 6 2
direct
0.000 0.000 0.000
0.000 0.500 0.500
0.500 0.000 0.500
0.500 0.500 0.000
0.148 0.654 0.795
0.346 0.852 0.205
0.348 0.348 0.300
0.652 0.652 0.700
0.654 0.148 0.795
0.852 0.346 0.205
0.151 0.151 0.712
0.849 0.849 0.288
```

The space group is C2/m. The value obtained for the density of states at the Fermi level is 6.424 states/eV/cell. For the uncorrected formation energy, the calculation gives -2733 meV per atom. As for the energy above the most stable polymorph in this dataset: 0.080 eV per atom.

# 15
V4O3F5: PBEsol geometry, meta-GGA SCAN.

Geometry as POSCAR:
```
V4O3F5
1.0
-3.020 3.410 3.207
3.020 -3.410 3.207
3.020 3.410 -3.207
V O F
4 3 5
direct
0.000 0.000 0.000
0.459 0.191 0.732
0.459 0.727 0.268
0.963 0.463 0.500
0.258 0.758 0.500
0.293 0.293 0.000
0.670 0.170 0.500
0.171 0.218 0.446
0.171 0.725 0.953
0.679 0.679 0.000
0.772 0.218 0.047
0.772 0.725 0.554
```

The space group is Imm2. The value obtained for the density of states at the Fermi level is 0.218 states/eV/cell. For the uncorrected formation energy, the calculation gives -2956 meV per atom.

# 16
V3O5F: PBEsol geometry, meta-GGA SCAN.

Geometry as POSCAR:
```
V3O5F
1.0
2.836 0.000 0.000
0.000 4.598 0.000
0.000 0.000 13.798
V O F
6 10 2
direct
0.000 0.206 0.000
0.000 0.213 0.315
0.000 0.286 0.657
0.500 0.714 0.157
0.500 0.787 0.815
0.500 0.794 0.500
0.000 0.522 0.224
0.000 0.570 0.555
0.000 0.926 0.090
0.000 0.953 0.422
0.000 0.978 0.755
0.500 0.022 0.255
0.500 0.047 0.922
0.500 0.074 0.590
0.500 0.430 0.055
0.500 0.478 0.724
0.000 0.554 0.889
0.500 0.446 0.389
```

The space group is Pmn2_1. The value obtained for the density of states at the Fermi level is 6.745 states/eV/cell. For the uncorrected formation energy, the calculation gives -2760 meV per atom. As for the energy above the most stable polymorph in this dataset: 0.004 eV per atom.